No. 1
# HfCdCo2, optimized geometry, DFT GGA-PBE
data_HfCdCo2
_cell_length_a 6.294
_cell_length_b 6.294
_cell_length_c 6.294
_cell_angle_alpha 90.00
_cell_angle_beta 90.00
_cell_angle_gamma 90.00
_space_group_name_H-M_alt 'F -4 3 m'
_space_group_IT_number 216
_space_group_name_Hall 'F -4 2 3'
loop_
_atom_site_label
_atom_site_type_symbol
_atom_site_fract_x
_atom_site_fract_y
_atom_site_fract_z
Hf1 Hf 0.000 0.000 0.000
Cd1 Cd 0.250 0.250 0.750
Co1 Co 0.000 0.000 0.500
Co2 Co 0.250 0.250 0.250
# Formation energy from the elements (eV/atom): 0.253

***

No. 2
# HfCd2Co, optimized geometry, DFT GGA-PBE
data_HfCd2Co
_cell_length_a 6.543
_cell_length_b 6.543
_cell_length_c 6.543
_cell_angle_alpha 90.00
_cell_angle_beta 90.00
_cell_angle_gamma 90.00
_space_group_name_H-M_alt 'F -4 3 m'
_space_group_IT_number 216
_space_group_name_Hall 'F -4 2 3'
loop_
_atom_site_label
_atom_site_type_symbol
_atom_site_fract_x
_atom_site_fract_y
_atom_site_fract_z
Hf1 Hf 0.000 0.000 0.000
Cd1 Cd 0.000 0.000 0.500
Cd2 Cd 0.250 0.250 0.750
Co1 Co 0.250 0.250 0.250
# Formation energy from the elements (eV/atom): 0.126

***

No. 3
# HfCdCo2, optimized geometry, DFT GGA-PBE
data_HfCdCo2
_cell_length_a 6.299
_cell_length_b 6.299
_cell_length_c 6.299
_cell_angle_alpha 90.00
_cell_angle_beta 90.00
_cell_angle_gamma 90.00
_space_group_name_H-M_alt 'F -4 3 m'
_space_group_IT_number 216
_space_group_name_Hall 'F -4 2 3'
loop_
_atom_site_label
_atom_site_type_symbol
_atom_site_fract_x
_atom_site_fract_y
_atom_site_fract_z
Hf1 Hf 0.000 0.000 0.000
Cd1 Cd 0.250 0.250 0.250
Co1 Co 0.000 0.000 0.500
Co2 Co 0.250 0.250 0.750
# Formation energy from the elements (eV/atom): 0.253

***

No. 4
# HfCdCo, optimized geometry, DFT GGA-PBE
data_HfCdCo
_cell_length_a 6.272
_cell_length_b 6.272
_cell_length_c 6.272
_cell_angle_alpha 90.00
_cell_angle_beta 90.00
_cell_angle_gamma 90.00
_space_group_name_H-M_alt 'F -4 3 m'
_space_group_IT_number 216
_space_group_name_Hall 'F -4 2 3'
loop_
_atom_site_label
_atom_site_type_symbol
_atom_site_fract_x
_atom_site_fract_y
_atom_site_fract_z
Hf1 Hf 0.000 0.000 0.000
Cd1 Cd 0.250 0.250 0.750
Co1 Co 0.250 0.250 0.250
# Formation energy from the elements (eV/atom): 0.698
# Excess energy over the best structure of this formula in the dataset (kJ/mol of atoms): 0.0

***

No. 5
# HfCdCoPb, optimized geometry, DFT GGA-PBE
data_HfCdCoPb
_cell_length_a 6.756
_cell_length_b 6.756
_cell_length_c 6.756
_cell_angle_alpha 90.00
_cell_angle_beta 90.00
_cell_angle_gamma 90.00
_space_group_name_H-M_alt 'F -4 3 m'
_space_group_IT_number 216
_space_group_name_Hall 'F -4 2 3'
loop_
_atom_site_label
_atom_site_type_symbol
_atom_site_fract_x
_atom_site_fract_y
_atom_site_fract_z
Hf1 Hf 0.000 0.000 0.000
Cd1 Cd 0.250 0.250 0.750
Co1 Co 0.000 0.000 0.500
Pb1 Pb 0.250 0.250 0.250
# Excess energy over the best structure of this formula in the dataset (kJ/mol of atoms): 6.2

***

No. 6
# HfCdCoPb, optimized geometry, DFT GGA-PBE
data_HfCdCoPb
_cell_length_a 6.761
_cell_length_b 6.761
_cell_length_c 6.761
_cell_angle_alpha 90.00
_cell_angle_beta 90.00
_cell_angle_gamma 90.00
_space_group_name_H-M_alt 'F -4 3 m'
_space_group_IT_number 216
_space_group_name_Hall 'F -4 2 3'
loop_
_atom_site_label
_atom_site_type_symbol
_atom_site_fract_x
_atom_site_fract_y
_atom_site_fract_z
Hf1 Hf 0.000 0.000 0.000
Cd1 Cd 0.250 0.250 0.250
Co1 Co 0.250 0.250 0.750
Pb1 Pb 0.000 0.000 0.500
# Excess energy over the best structure of this formula in the dataset (kJ/mol of atoms): 0.0

***

No. 7
# HfTlCdCo, optimized geometry, DFT GGA-PBE
data_HfTlCdCo
_cell_length_a 6.658
_cell_length_b 6.658
_cell_length_c 6.658
_cell_angle_alpha 90.00
_cell_angle_beta 90.00
_cell_angle_gamma 90.00
_space_group_name_H-M_alt 'F -4 3 m'
_space_group_IT_number 216
_space_group_name_Hall 'F -4 2 3'
loop_
_atom_site_label
_atom_site_type_symbol
_atom_site_fract_x
_atom_site_fract_y
_atom_site_fract_z
Hf1 Hf 0.000 0.000 0.000
Tl1 Tl 0.000 0.000 0.500
Cd1 Cd 0.250 0.250 0.250
Co1 Co 0.250 0.250 0.750
# Excess energy over the best structure of this formula in the dataset (kJ/mol of atoms): 0.0

***

No. 8
# HfTlCdCo, optimized geometry, DFT GGA-PBE
data_HfTlCdCo
_cell_length_a 6.667
_cell_length_b 6.667
_cell_length_c 6.667
_cell_angle_alpha 90.00
_cell_angle_beta 90.00
_cell_angle_gamma 90.00
_space_group_name_H-M_alt 'F -4 3 m'
_space_group_IT_number 216
_space_group_name_Hall 'F -4 2 3'
loop_
_atom_site_label
_atom_site_type_symbol
_atom_site_fract_x
_atom_site_fract_y
_atom_site_fract_z
Hf1 Hf 0.000 0.000 0.000
Tl1 Tl 0.250 0.250 0.250
Cd1 Cd 0.250 0.250 0.750
Co1 Co 0.000 0.000 0.500
# Excess energy over the best structure of this formula in the dataset (kJ/mol of atoms): 6.0

***

no.,total magnetization (μB/f.u.),electronic total energy (eV per atom)
1,2.9,-6.013
2,0.9,-4.587
3,2.9,-6.013
4,0.4,-5.288
5,0.0,-5.027
6,0.1,-5.092
7,0.1,-4.799
8,0.4,-4.737